# 1
A relaxed structure of LaPrZnGe. Source: the Alexandria database, functional PBE.

Output
M_tot in μB per atom: 0.028
Symmetry: Amm2, No. 38
Distance to the lowest polymorph of the same formula in eV/atom: 0.000
E_form in eV/atom: -0.58

POSCAR file:
```
LaPrZnGe
1.0
-3.938 1.881 -0.641
-0.447 -2.165 -3.611
-0.541 -5.214 3.193
La Pr Zn Ge
1 1 1 1
direct
0.146 0.000 0.291
0.859 0.500 0.719
0.567 0.500 0.134
0.428 0.000 0.856
```

# 2
A relaxed structure of LaPrZn2Ge2. Source: the Alexandria database, functional PBE.

Output
M_tot in μB per atom: 0.000
Symmetry: P-3m1, No. 164
E_form in eV/atom: -0.69

POSCAR file:
```
LaPrZn2Ge2
1.0
4.277 0.000 0.000
-2.139 3.704 0.000
0.000 0.000 8.672
Ge La Zn Pr
2 1 2 1
direct
0.333 0.667 0.251
0.667 0.333 0.749
0.000 0.000 0.000
0.667 0.333 0.255
0.333 0.667 0.745
0.000 0.000 0.500
```

# 3
A relaxed structure of LaPrZnGe. Source: the Alexandria database, functional PBE.

Output
M_tot in μB per atom: 0.000
Symmetry: F-43m, No. 216
Distance to the lowest polymorph of the same formula in eV/atom: 0.053
E_form in eV/atom: -0.53

POSCAR file:
```
LaPrZnGe
1.0
5.269 0.000 0.000
2.635 4.563 0.000
2.635 1.521 4.302
Zn Ge Pr La
1 1 1 1
direct
0.000 0.000 0.000
0.500 0.500 0.500
0.750 0.750 0.750
0.250 0.250 0.250
```

# 4
A relaxed structure of La2GePt2. Source: the Alexandria database, functional PBE.

Output
M_tot in μB per atom: 0.000
Symmetry: I4/mmm, No. 139
E_form in eV/atom: -0.82

POSCAR file:
```
La2GePt2
1.0
3.887 0.000 0.000
0.000 3.887 0.000
1.943 1.943 8.284
Pt La Ge
2 2 1
direct
0.750 0.250 0.500
0.250 0.750 0.500
0.389 0.389 0.222
0.611 0.611 0.778
0.000 0.000 0.000
```

# 5
A relaxed structure of La2GePt. Source: the Alexandria database, functional PBE.

Output
M_tot in μB per atom: 0.000
Symmetry: P4/mmm, No. 123
E_form in eV/atom: -0.89

POSCAR file:
```
La2GePt
1.0
-0.396 3.131 -1.823
0.601 -1.752 -3.139
-7.521 -1.350 -0.686
La Pt Ge
2 1 1
direct
0.000 0.000 0.242
0.000 0.000 0.758
0.500 0.500 0.000
0.500 0.500 0.500
```

# 6
A relaxed structure of La2GePt. Source: the Alexandria database, functional PBE.

Output
M_tot in μB per atom: 0.000
Symmetry: I-42d, No. 122
E_form in eV/atom: -0.42

POSCAR file:
```
La2GePt
1.0
6.294 0.000 0.000
0.000 6.294 0.000
3.147 3.147 7.477
Pt Ge La
2 2 4
direct
0.750 0.250 0.500
0.000 0.000 0.000
0.500 0.500 0.000
0.250 0.750 0.500
0.116 0.625 0.250
0.875 0.884 0.750
0.634 0.125 0.250
0.375 0.366 0.750
```

# 7
A relaxed structure of La3GePt. Source: the Alexandria database, functional PBE.

Output
M_tot in μB per atom: 0.000
Symmetry: Pm-3m, No. 221
Distance to the lowest polymorph of the same formula in eV/atom: 0.410
E_form in eV/atom: -0.42

POSCAR file:
```
La3GePt
1.0
5.614 0.000 0.000
0.000 5.614 0.000
0.000 0.000 5.614
La Pt Ge
3 1 1
direct
0.500 0.000 0.000
0.000 0.000 0.500
0.000 0.500 0.000
0.000 0.000 0.000
0.500 0.500 0.500
```

# 8
A relaxed structure of LaGe2Pt2. Source: the Alexandria database, functional PBE.

Output
M_tot in μB per atom: 0.000
Symmetry: P4/mbm, No. 127
E_form in eV/atom: -0.46

POSCAR file:
```
LaGe2Pt2
1.0
-1.427 -6.550 3.761
6.396 -3.084 -2.944
1.765 1.135 2.645
Pt Ge La
4 4 2
direct
0.627 0.127 0.000
0.127 0.373 0.000
0.373 0.873 0.000
0.873 0.627 0.000
0.345 0.155 0.500
0.655 0.845 0.500
0.845 0.345 0.500
0.155 0.655 0.500
0.000 0.000 0.000
0.500 0.500 0.000
```

# 9
A relaxed structure of LaGe2Pt2. Source: the Alexandria database, functional PBE.

Output
M_tot in μB per atom: 0.000
Symmetry: P4/mbm, No. 127
E_form in eV/atom: -0.47

POSCAR file:
```
LaGe2Pt2
1.0
7.929 0.000 0.000
0.000 7.929 0.000
0.000 0.000 3.052
Ge La Pt
4 2 4
direct
0.366 0.866 0.000
0.634 0.134 0.000
0.134 0.366 0.000
0.866 0.634 0.000
0.000 0.000 0.000
0.500 0.500 0.000
0.651 0.849 0.500
0.849 0.349 0.500
0.151 0.651 0.500
0.349 0.151 0.500
```

# 10
A relaxed structure of La3Ge2Pt4. Source: the Alexandria database, functional PBE.

Output
M_tot in μB per atom: 0.000
Symmetry: C2/m, No. 12
E_form in eV/atom: -1.09

POSCAR file:
```
La3Ge2Pt4
1.0
-3.635 2.311 0.790
-0.988 -4.277 -4.174
-0.904 -4.048 7.687
Ge La Pt
2 3 4
direct
0.610 0.220 0.286
0.390 0.780 0.714
0.000 0.000 0.000
0.335 0.669 0.327
0.665 0.331 0.673
0.940 0.880 0.615
0.060 0.120 0.385
0.714 0.429 0.069
0.286 0.571 0.931
```

# 11
A relaxed structure of La3GePt8. Source: the Alexandria database, functional PBE.

Output
M_tot in μB per atom: 0.000
Symmetry: R3m, No. 160
E_form in eV/atom: -0.95

POSCAR file:
```
La3GePt8
1.0
0.213 1.015 5.456
3.492 -2.873 3.225
7.662 5.610 1.483
Pt La Ge
8 3 1
direct
0.560 0.560 0.827
0.560 0.054 0.827
0.807 0.807 0.578
0.057 0.057 0.317
0.570 0.057 0.317
0.054 0.560 0.827
0.310 0.310 0.071
0.057 0.570 0.317
0.014 0.014 0.957
0.619 0.619 0.142
0.487 0.487 0.540
0.156 0.156 0.531
```

# 12
A relaxed structure of LaGe2Pt2. Source: the Alexandria database, functional PBE.

Output
M_tot in μB per atom: 0.000
Symmetry: I4/mmm, No. 139
E_form in eV/atom: -0.92

POSCAR file:
```
LaGe2Pt2
1.0
-0.126 -3.711 -2.540
3.657 -1.563 2.102
-1.137 -4.862 3.177
Ge La Pt
2 1 2
direct
0.750 0.250 0.500
0.250 0.750 0.500
0.000 0.000 0.000
0.364 0.364 0.272
0.636 0.636 0.728
```

# 13
A relaxed structure of LaGe2Pt3. Source: the Alexandria database, functional PBE.

Output
M_tot in μB per atom: 0.000
Symmetry: C2/m, No. 12
E_form in eV/atom: -0.88

POSCAR file:
```
LaGe2Pt3
1.0
4.145 0.000 0.000
-2.072 7.996 -2.545
0.000 0.115 10.233
Pt Ge La
9 6 3
direct
0.673 0.347 0.955
0.957 0.915 0.668
0.500 0.000 0.500
0.222 0.444 0.390
0.377 0.754 0.804
0.623 0.246 0.196
0.327 0.653 0.045
0.043 0.085 0.332
0.778 0.556 0.610
0.535 0.069 0.775
0.638 0.276 0.450
0.362 0.724 0.550
0.201 0.402 0.131
0.465 0.931 0.225
0.799 0.598 0.869
0.845 0.691 0.306
0.155 0.309 0.694
0.000 0.000 0.000
```

# 14
A relaxed structure of La2GePt. Source: the Alexandria database, functional PBE.

Output
M_tot in μB per atom: 0.000
Symmetry: P2_1/m, No. 11
E_form in eV/atom: -1.00

POSCAR file:
```
La2GePt
1.0
-0.936 -2.562 3.529
3.700 -4.317 -2.153
4.239 5.334 4.997
Pt La Ge
2 4 2
direct
0.750 0.660 0.293
0.250 0.340 0.707
0.750 0.228 0.916
0.250 0.773 0.558
0.250 0.772 0.084
0.750 0.227 0.442
0.250 0.331 0.206
0.750 0.669 0.794
```

# 15
A relaxed structure of LaGePt. Source: the Alexandria database, functional PBE.

Output
M_tot in μB per atom: 0.000
Symmetry: P-6m2, No. 187
E_form in eV/atom: -1.10

POSCAR file:
```
LaGePt
1.0
-3.175 0.490 2.339
0.908 -3.861 2.041
1.732 3.806 1.554
La Ge Pt
1 1 1
direct
0.667 0.667 0.333
0.167 0.333 0.667
0.167 0.000 0.000
```

# 16
A relaxed structure of La7Ge2Pt2. Source: the Alexandria database, functional PBE.

Output
M_tot in μB per atom: 0.000
Symmetry: Imm2, No. 44
Distance to the lowest polymorph of the same formula in eV/atom: 0.000
E_form in eV/atom: -0.76

POSCAR file:
```
La7Ge2Pt2
1.0
4.254 0.000 0.912
1.299 8.130 4.316
0.234 -0.379 9.285
La Pt Ge
7 2 2
direct
0.188 0.691 0.933
0.500 0.005 0.995
0.614 0.498 0.274
0.872 0.404 0.852
0.386 0.726 0.502
0.128 0.148 0.596
0.812 0.067 0.309
0.000 0.790 0.210
0.500 0.347 0.653
0.730 0.858 0.682
0.270 0.318 0.142
```

# 17
A relaxed structure of La3GePt. Source: the Alexandria database, functional PBE.

Output
M_tot in μB per atom: 0.051
Symmetry: Pnma, No. 62
Distance to the lowest polymorph of the same formula in eV/atom: 0.000
E_form in eV/atom: -0.83

POSCAR file:
```
La3GePt
1.0
-2.980 1.413 2.774
-6.690 -8.828 -2.690
5.106 -6.559 8.828
La Ge Pt
12 4 4
direct
0.250 0.950 0.378
0.250 0.858 0.045
0.750 0.050 0.622
0.250 0.304 0.725
0.250 0.642 0.545
0.750 0.450 0.122
0.750 0.358 0.455
0.750 0.142 0.955
0.250 0.196 0.225
0.750 0.804 0.775
0.250 0.550 0.878
0.750 0.696 0.275
0.750 0.504 0.683
0.250 0.496 0.317
0.250 0.004 0.817
0.750 0.996 0.183
0.750 0.678 0.002
0.250 0.178 0.498
0.250 0.322 0.998
0.750 0.822 0.502
```

# 18
A relaxed structure of La8Ge5Pt. Source: the Alexandria database, functional PBE.

Output
M_tot in μB per atom: 0.000
Symmetry: I-4, No. 82
E_form in eV/atom: -0.84

POSCAR file:
```
La8Ge5Pt
1.0
7.663 0.000 -2.580
-3.850 6.556 -2.753
0.036 0.000 8.086
La Ge Pt
8 5 1
direct
0.754 0.248 0.368
0.119 0.752 0.506
0.127 0.742 0.003
0.997 0.125 0.740
0.494 0.614 0.246
0.615 0.875 0.873
0.260 0.258 0.385
0.632 0.386 0.881
0.373 0.128 0.004
0.996 0.370 0.124
0.755 0.630 0.627
0.876 0.872 0.245
0.500 0.000 0.500
0.250 0.500 0.750
```

# 19
A relaxed structure of LaGe2Pt2. Source: the Alexandria database, functional PBE.

Output
M_tot in μB per atom: 0.000
Symmetry: P4/nmm, No. 129
E_form in eV/atom: -0.98

POSCAR file:
```
LaGe2Pt2
1.0
-3.266 2.868 0.930
-2.246 -1.399 -3.572
-4.542 -6.985 5.593
Ge Pt La
4 4 2
direct
0.500 0.000 0.128
0.000 0.500 0.872
0.000 0.000 0.500
0.500 0.500 0.500
0.500 0.000 0.376
0.000 0.000 0.000
0.000 0.500 0.624
0.500 0.500 0.000
0.500 0.000 0.748
0.000 0.500 0.252
```

# 20
A relaxed structure of La7Ge2Pt2. Source: the Alexandria database, functional PBE.

Output
M_tot in μB per atom: 0.000
Symmetry: Cmmm, No. 65
Distance to the lowest polymorph of the same formula in eV/atom: 0.152
E_form in eV/atom: -0.61

POSCAR file:
```
La7Ge2Pt2
1.0
-0.201 4.797 5.140
-6.997 0.510 -0.750
-0.787 -6.283 3.064
La Pt Ge
7 2 2
direct
0.500 0.276 0.000
0.500 0.724 0.000
0.500 0.277 0.500
0.000 0.724 0.500
0.500 0.723 0.500
0.000 0.000 0.000
0.000 0.276 0.500
0.715 0.000 0.285
0.285 0.000 0.715
0.841 0.500 0.841
0.159 0.500 0.159
```